(1)
# SbPtRh2 | Alexandria | PBEsol | optimized geometry
# formation energy without anion corrections	-1.1	eV/f.u.
# M_tot	0.0001	μB/atom
# final energy	-7.2359	eV per atom
# D(E_F)	2.330	states/eV/f.u.
data_SbPtRh2
_chemical_formula_sum 'Sb1 Pt1 Rh2'
_symmetry_space_group_name_H-M 'P 4/m m m'
_symmetry_Int_Tables_number 123
_symmetry_space_group_name_Hall '-P 4 2'
_cell_length_a 3.9844
_cell_length_b 3.9844
_cell_length_c 3.8400
_cell_angle_alpha 90.00
_cell_angle_beta 90.00
_cell_angle_gamma 90.00
loop_
_atom_site_label
_atom_site_fract_x
_atom_site_fract_y
_atom_site_fract_z
_atom_site_occupancy
Sb1 0.0000 0.0000 0.0000 1
Pt1 0.5000 0.5000 0.0000 1
Rh1 0.0000 0.5000 0.5000 1

---

(2)
# Sb2PtRh | Alexandria | PBEsol | optimized geometry
# formation energy without anion corrections	-0.1	eV/f.u.
# M_tot	0.0000	μB/atom
# final energy	-6.0897	eV per atom
# D(E_F)	2.741	states/eV/f.u.
data_Sb2PtRh
_chemical_formula_sum 'Sb4 Pt2 Rh2'
_symmetry_space_group_name_H-M 'I -4 m 2'
_symmetry_Int_Tables_number 119
_symmetry_space_group_name_Hall 'I -4 -2'
_cell_length_a 3.9860
_cell_length_b 3.9860
_cell_length_c 9.1923
_cell_angle_alpha 90.00
_cell_angle_beta 90.00
_cell_angle_gamma 90.00
loop_
_atom_site_label
_atom_site_fract_x
_atom_site_fract_y
_atom_site_fract_z
_atom_site_occupancy
Sb1 0.0000 0.0000 0.0000 1
Sb2 0.0000 0.5000 0.2500 1
Pt1 0.0000 0.0000 0.5000 1
Rh1 0.0000 0.5000 0.7500 1

---

(3)
# Sb2PtRh | Alexandria | PBEsol | optimized geometry
# formation energy without anion corrections	-0.7	eV/f.u.
# M_tot	0.0000	μB/atom
# final energy	-6.2290	eV per atom
# D(E_F)	2.591	states/eV/f.u.
data_Sb2PtRh
_chemical_formula_sum 'Sb2 Pt1 Rh1'
_symmetry_space_group_name_H-M 'P 4/m m m'
_symmetry_Int_Tables_number 123
_symmetry_space_group_name_Hall '-P 4 2'
_cell_length_a 3.8305
_cell_length_b 3.8305
_cell_length_c 5.3927
_cell_angle_alpha 90.00
_cell_angle_beta 90.00
_cell_angle_gamma 90.00
loop_
_atom_site_label
_atom_site_fract_x
_atom_site_fract_y
_atom_site_fract_z
_atom_site_occupancy
Sb1 0.0000 0.0000 0.0000 1
Sb2 0.5000 0.5000 0.5000 1
Pt1 0.0000 0.0000 0.5000 1
Rh1 0.5000 0.5000 0.0000 1

---

(4)
# ScPtRh3 | Alexandria | PBEsol | optimized geometry
# M_tot	0.3845	μB/atom
# final energy	-6.4362	eV per atom
# D(E_F)	7.746	states/eV/f.u.
# formation enthalpy at 0 K	1161	meV/atom
data_ScPtRh3
_chemical_formula_sum 'Sc1 Pt1 Rh3'
_symmetry_space_group_name_H-M 'P m -3 m'
_symmetry_Int_Tables_number 221
_symmetry_space_group_name_Hall '-P 4 2 3'
_cell_length_a 4.4676
_cell_length_b 4.4676
_cell_length_c 4.4676
_cell_angle_alpha 90.00
_cell_angle_beta 90.00
_cell_angle_gamma 90.00
loop_
_atom_site_label
_atom_site_fract_x
_atom_site_fract_y
_atom_site_fract_z
_atom_site_occupancy
Sc1 0.0000 0.0000 0.0000 1
Pt1 0.5000 0.5000 0.5000 1
Rh1 0.0000 0.0000 0.5000 1

---

> Which value of M_tot does entry 2 give?

0.0000 μB/atom